Compound: Sr4LaAs
Source: Alexandria via LeMat-Bulk
Functional: GGA-PBE
Structure: relaxed

Cell: 7.189 7.189 7.189 Å, 60.00 60.00 60.00°
Site moments in Bohr magnetons follow the coordinates.
Element x y z (fractional)
Sr: 0.375 0.875 0.375  0.04
Sr: 0.875 0.375 0.375  0.04
Sr: 0.375 0.375 0.875  0.04
Sr: 0.375 0.375 0.375  0.04
As: 0.750 0.750 0.750  0.02
La: 0.000 0.000 0.000  0.18

The mass density comes out at 3.567 Mg/m³. The value obtained for the size of the total moment is 1.1 μB/cell. The value obtained for the formation energy is 0.40 eV per atom. The calculated total energy is -2.313 eV per atom.

---

Compound: Sm2GaPd3
Source: Alexandria via LeMat-Bulk
Functional: GGA-PBE
Structure: relaxed

Cell: 5.804 5.804 8.553 Å, 105.11 105.11 103.40°
Element x y z (fractional)
Pd: 0.650 0.176 0.826
Pd: 0.350 0.824 0.174
Pd: 0.171 0.171 0.342
Pd: 0.829 0.829 0.658
Pd: 0.824 0.350 0.174
Pd: 0.176 0.650 0.826
Sm: 0.753 0.753 0.000
Sm: 0.247 0.247 0.000
Sm: 0.750 0.250 0.500
Sm: 0.250 0.750 0.500
Ga: 0.332 0.332 0.665
Ga: 0.668 0.668 0.335

The mass density comes out at 9.009 Mg/m³. The value obtained for the size of the total moment is 0.0 μB/cell. For the energy above the most stable polymorph in this dataset, the calculation gives 0.000 eV/atom. The value obtained for the formation energy is -0.79 eV per atom. The calculated total energy is -5.466 eV per atom.

---

Compound: TiBe2Ga2
Source: Alexandria via LeMat-Bulk
Functional: GGA-PBE
Structure: relaxed

Cell: 6.799 6.799 2.799 Å, 90.00 90.00 90.00°
Element x y z (fractional)
Ti: 0.000 0.000 0.000
Ti: 0.500 0.500 0.000
Ga: 0.677 0.823 0.500
Ga: 0.823 0.323 0.500
Ga: 0.323 0.177 0.500
Ga: 0.177 0.677 0.500
Be: 0.117 0.383 0.000
Be: 0.883 0.617 0.000
Be: 0.383 0.883 0.000
Be: 0.617 0.117 0.000

The mass density comes out at 5.271 Mg/m³. The value obtained for the size of the total moment is 0.0 μB/cell. For the energy above the most stable polymorph in this dataset, the calculation gives 0.053 eV/atom. The value obtained for the formation energy is 0.00 eV per atom. The calculated total energy is -4.284 eV per atom.